## Tm5GeBi4 (GGA-PBE)

Data for crystalline Tm5GeBi4 at its relaxed geometry.

- energy relative to the elements (eV per atom) = -0.75
- density of states at the Fermi level (states/eV/atom) = 0.327
- crystal system = tetragonal
- volume (Å³/atom) = 29.505
- calculated density (g/cm3) = 9.9
- VASP energy (eV per atom) = -4.9985

a b c (Å): 9.7671 9.7671 6.1858
angles (deg): 90.00 90.00 90.00
Space group I4/m (No. 87)
Asymmetric unit:
1 Tm 0.0000 0.0000 0.0000 [2 per cell]
2 Tm 0.0977 0.2793 0.5000 [8 per cell]
3 Ge 0.0000 0.0000 0.5000 [2 per cell]
4 Bi 0.0918 0.3050 0.0000 [8 per cell]

=====

## Tm3GeBi2 (GGA-PBE)

Data for crystalline Tm3GeBi2 at its relaxed geometry.

- energy relative to the elements (eV per atom) = -0.72
- density of states at the Fermi level (states/eV/atom) = 0.455
- crystal system = monoclinic
- volume (Å³/atom) = 28.524
- calculated density (g/cm3) = 9.7
- VASP energy (eV per atom) = -5.0173

a b c (Å): 7.6403 12.9189 7.3485
angles (deg): 90.00 109.30 90.00
Space group C2/c (No. 15)
Asymmetric unit:
1 Tm 0.2190 0.0752 0.4920 [8 per cell]
2 Tm 0.2500 0.2500 0.0000 [4 per cell]
3 Ge 0.0000 0.0900 0.7500 [4 per cell]
4 Bi 0.0000 0.2609 0.2500 [4 per cell]
5 Bi 0.0000 0.4192 0.7500 [4 per cell]

=====

## Tm7Ge5Bi (GGA-PBE)

Data for crystalline Tm7Ge5Bi at its relaxed geometry.

- energy relative to the elements (eV per atom) = -0.53
- density of states at the Fermi level (states/eV/atom) = 0.623
- crystal system = orthorhombic
- volume (Å³/atom) = 23.997
- calculated density (g/cm3) = 9.3
- VASP energy (eV per atom) = -5.0134

a b c (Å): 5.8554 10.7372 9.9238
angles (deg): 90.00 90.00 90.00
Space group Imm2 (No. 44)
Asymmetric unit:
1 Tm 0.0000 0.0000 0.0000 [2 per cell]
2 Tm 0.0000 0.0000 0.3719 [2 per cell]
3 Tm 0.0000 0.3318 0.6315 [4 per cell]
4 Tm 0.0000 0.3330 0.0971 [4 per cell]
5 Tm 0.0000 0.5000 0.3561 [2 per cell]
6 Ge 0.0000 0.5000 0.8632 [2 per cell]
7 Ge 0.2337 0.2572 0.3675 [8 per cell]
8 Bi 0.0000 0.0000 0.6787 [2 per cell]

=====

Q: volume of number 2 (Tm3GeBi2)?
A: 28.524 Å³/atom